The following is a PBE-GGA calculation of a relaxed V4ZnIr5 crystal, from Alexandria.

a = 2.7802 Å, b = 2.7802 Å, c = 18.1092 Å
α = 90.00°, β = 90.00°, γ = 90.00°
Element x y z (fractional)
Zn 0.0000 0.0000 0.0000
Ir 0.5000 0.5000 0.8960
Ir 0.5000 0.5000 0.5000
Ir 0.5000 0.5000 0.7007
Ir 0.5000 0.5000 0.1040
Ir 0.5000 0.5000 0.2993
V 0.0000 0.0000 0.3995
V 0.0000 0.0000 0.8027
V 0.0000 0.0000 0.6005
V 0.0000 0.0000 0.1973

Computed properties:
The space-group type is No. 123. The calculated total energy is -86.6 eV/cell. The formation energy comes out at -0.460 eV/atom.